Record 1
CsTmHg: relaxed, PBE.

Its total magnetization is 0.009 μB per atom. Its calculated formation energy is 0.14 eV/atom.

Structure (CIF):
```
data_CsTmHg
_chemical_formula_sum 'Cs4 Tm4 Hg4'
_cell_length_a 17.5390
_cell_length_b 3.9835
_cell_length_c 6.9049
_cell_angle_alpha 90.00
_cell_angle_beta 90.00
_cell_angle_gamma 90.00
_symmetry_space_group_name_H-M 'A m m 2'
_symmetry_Int_Tables_number 38
loop_
_symmetry_equiv_pos_as_xyz
'x,y,z'
'-x,-y,z'
'-x,y,z'
'x,-y,z'
'x,y+1/2,z+1/2'
'-x,-y+1/2,z+1/2'
'-x,y+1/2,z+1/2'
'x,-y+1/2,z+1/2'
loop_
_atom_site_label
_atom_site_type_symbol
_atom_site_fract_x
_atom_site_fract_y
_atom_site_fract_z
Cs1 Cs 0.1719 0.0000 0.0000
Tm1 Tm 0.3861 0.0000 0.3353
Hg1 Hg 0.0000 0.0000 0.3324
Hg2 Hg 0.5000 0.0000 0.0021
```


Record 2
CsVHg3: relaxed, PBE.

The distance to the lowest polymorph of the same formula comes out at 0 meV/atom. Its total magnetization is 0.832 μB per atom. Its calculated formation energy is 0.15 eV/atom.

Structure (CIF):
```
data_CsVHg3
_chemical_formula_sum 'Cs1 V1 Hg3'
_cell_length_a 5.5570
_cell_length_b 5.5570
_cell_length_c 5.5570
_cell_angle_alpha 90.00
_cell_angle_beta 90.00
_cell_angle_gamma 90.00
_symmetry_space_group_name_H-M 'P m -3 m'
_symmetry_Int_Tables_number 221
_symmetry_space_group_name_Hall '-P 4 2 3'
loop_
_atom_site_label
_atom_site_type_symbol
_atom_site_fract_x
_atom_site_fract_y
_atom_site_fract_z
Cs1 Cs 0.0000 0.0000 0.0000
V1 V 0.5000 0.5000 0.5000
Hg1 Hg 0.0000 0.5000 0.5000
```


Record 3
CsVHg3: relaxed, PBE.

The distance to the lowest polymorph of the same formula comes out at 888 meV/atom. Its total magnetization is 0.814 μB per atom. Its calculated formation energy is 1.03 eV/atom.

Structure (CIF):
```
data_CsVHg3
_chemical_formula_sum 'Cs1 V1 Hg3'
_cell_length_a 6.7786
_cell_length_b 6.7786
_cell_length_c 6.7786
_cell_angle_alpha 90.00
_cell_angle_beta 90.00
_cell_angle_gamma 90.00
_symmetry_space_group_name_H-M 'P m -3 m'
_symmetry_Int_Tables_number 221
_symmetry_space_group_name_Hall '-P 4 2 3'
loop_
_atom_site_label
_atom_site_type_symbol
_atom_site_fract_x
_atom_site_fract_y
_atom_site_fract_z
Cs1 Cs 0.0000 0.0000 0.0000
V1 V 0.5000 0.5000 0.5000
Hg1 Hg 0.0000 0.0000 0.5000
```


Record 4
CsV3Hg: relaxed, PBE.

Its total magnetization is 0.000 μB per atom. Its calculated formation energy is 2.42 eV/atom.

Structure (CIF):
```
data_CsV3Hg
_chemical_formula_sum 'Cs1 V3 Hg1'
_cell_length_a 4.7621
_cell_length_b 4.7621
_cell_length_c 4.7621
_cell_angle_alpha 90.00
_cell_angle_beta 90.00
_cell_angle_gamma 90.00
_symmetry_space_group_name_H-M 'P m -3 m'
_symmetry_Int_Tables_number 221
_symmetry_space_group_name_Hall '-P 4 2 3'
loop_
_atom_site_label
_atom_site_type_symbol
_atom_site_fract_x
_atom_site_fract_y
_atom_site_fract_z
Cs1 Cs 0.0000 0.0000 0.0000
V1 V 0.0000 0.0000 0.5000
Hg1 Hg 0.5000 0.5000 0.5000
```


Record 5
CsHgW: relaxed, PBE.

The distance to the lowest polymorph of the same formula comes out at 567 meV/atom. Its total magnetization is 0.739 μB per atom. Its calculated formation energy is 1.33 eV/atom.

Structure (CIF):
```
data_CsHgW
_chemical_formula_sum 'Cs2 Hg2 W2'
_cell_length_a 3.1740
_cell_length_b 4.6382
_cell_length_c 13.1315
_cell_angle_alpha 90.00
_cell_angle_beta 90.00
_cell_angle_gamma 90.00
_symmetry_space_group_name_H-M 'A m m 2'
_symmetry_Int_Tables_number 38
loop_
_symmetry_equiv_pos_as_xyz
'x,y,z'
'-x,-y,z'
'-x,y,z'
'x,-y,z'
'x,y+1/2,z+1/2'
'-x,-y+1/2,z+1/2'
'-x,y+1/2,z+1/2'
'x,-y+1/2,z+1/2'
loop_
_atom_site_label
_atom_site_type_symbol
_atom_site_fract_x
_atom_site_fract_y
_atom_site_fract_z
Cs1 Cs 0.0000 0.0000 0.0000
Hg1 Hg 0.5000 0.0000 0.2643
W1 W 0.0000 0.0000 0.7326
```


Record 6
CsHgW: relaxed, PBE.

The distance to the lowest polymorph of the same formula comes out at 12 meV/atom. Its total magnetization is 0.000 μB per atom. Its calculated formation energy is 0.78 eV/atom.

Structure (CIF):
```
data_CsHgW
_chemical_formula_sum 'Cs2 Hg2 W2'
_cell_length_a 3.2471
_cell_length_b 6.0590
_cell_length_c 10.1330
_cell_angle_alpha 72.64
_cell_angle_beta 86.87
_cell_angle_gamma 78.67
_symmetry_space_group_name_H-M 'P -1'
_symmetry_Int_Tables_number 2
loop_
_symmetry_equiv_pos_as_xyz
'x,y,z'
'-x,-y,-z'
loop_
_atom_site_label
_atom_site_type_symbol
_atom_site_fract_x
_atom_site_fract_y
_atom_site_fract_z
Cs1 Cs 0.0063 0.3198 0.3598
Hg1 Hg 0.4977 0.0853 0.8301
W1 W 0.2000 0.6554 0.9999
```